Ca3MgP | PBE | relaxed

Properties
DFT total energy = -3.15 eV per atom
formation energy = -0.5435 eV/atom
total moment = 0.0 μB/f.u.
offset from the most stable computed form = 23 meV per atom
volume = 573.81 Å³ per cell

abc: 12.0362 6.9047 6.9045
angles: 90.00 90.00 90.00
Space group Aem2 (No. 39)
Asymmetric unit:
Ca  0.0000  0.0000  0.0000 (multiplicity 4)
Ca  0.2892  0.9998  0.9995 (multiplicity 8)
Mg  0.4926  0.2500  0.2484 (multiplicity 4)
P  0.1370  0.2500  0.7498 (multiplicity 4)

=====

CsLiTe2 | PBE | relaxed

Properties
DFT total energy = -3.01 eV per atom
total moment = 0.0 μB/f.u.
uncorrected formation energy = -0.75 eV/atom
offset from the most stable computed form = 78 meV per atom
volume = 622.24 Å³ per cell

abc: 9.8468 10.7798 6.2547
angles: 90.00 110.41 90.00
Space group C2/c (No. 15)
Asymmetric unit:
Cs  0.0000  0.1392  0.2500 (multiplicity 4)
Li  0.0000  0.4782  0.7500 (multiplicity 4)
Te  0.2332  0.3692  0.0897 (multiplicity 8)

=====

InOsO4 | PBE | relaxed

Properties
DFT total energy = -6.80 eV per atom
total moment = 0.9 μB/f.u.
uncorrected formation energy = -1.16 eV/atom
volume = 146.68 Å³ per cell

abc: 5.7716 4.7853 5.6254
angles: 90.00 109.25 90.00
Space group P2_1/c (No. 14)
Asymmetric unit:
In  0.0000  0.0000  0.0000 (multiplicity 2)
Os  0.5000  0.0000  0.5000 (multiplicity 2)
O  0.1716  0.1615  0.3735 (multiplicity 4)
O  0.3766  0.7124  0.6752 (multiplicity 4)

=====

Ac4Ir2PtS | PBE | relaxed

Properties
DFT total energy = -6.60 eV per atom
total moment = 0.0 μB/f.u.
uncorrected formation energy = -1.06 eV/atom
volume = 235.90 Å³ per cell

abc: 7.5607 4.3375 7.6170
angles: 90.00 109.20 90.00
Space group P2/m (No. 10)
Asymmetric unit:
Ac  0.2433  0.0000  0.2347 (multiplicity 2)
Ac  0.2536  0.5000  0.7613 (multiplicity 2)
Ir  0.0000  0.5000  0.0000 (multiplicity 1)
Ir  0.5000  0.0000  0.0000 (multiplicity 1)
Pt  0.0000  0.0000  0.5000 (multiplicity 1)
S  0.5000  0.5000  0.5000 (multiplicity 1)

=====

ZrFe2P | PBE | relaxed

Properties
DFT total energy = -8.22 eV per atom
formation energy = -0.4978 eV/atom
total moment = 2.4 μB/f.u.
volume = 172.26 Å³ per cell

abc: 3.8205 3.8205 13.6263
angles: 90.00 90.00 120.00
Space group R3m (No. 160, hexagonal axes)
Asymmetric unit:
Zr  0.0000  0.0000  0.0000 (multiplicity 3)
Fe  0.0000  0.0000  0.4988 (multiplicity 3)
Fe  0.0000  0.0000  0.7966 (multiplicity 3)
P  0.0000  0.0000  0.2096 (multiplicity 3)

=====

CsBiP2Se8 | PBE | relaxed

Properties
DFT total energy = -3.83 eV per atom
total moment = 0.0 μB/f.u.
uncorrected formation energy = -0.21 eV/atom
volume = 374.38 Å³ per cell

abc: 6.4386 6.4386 10.4281
angles: 90.00 90.00 120.00
Space group P-3 (No. 147)
Asymmetric unit:
Cs  0.0000  0.0000  0.0000 (multiplicity 1)
Bi  0.0000  0.0000  0.5000 (multiplicity 1)
P  0.3333  0.6667  0.7269 (multiplicity 2)
Se  0.0271  0.6422  0.3301 (multiplicity 6)
Se  0.3333  0.6667  0.9364 (multiplicity 2)

=====

Ti2NbRh | PBE | relaxed

Properties
DFT total energy = -8.18 eV per atom
formation energy = 0.1189 eV/atom
total moment = 0.0 μB/f.u.
volume = 139.26 Å³ per cell

abc: 2.7729 4.8565 10.3415
angles: 90.00 90.00 90.00
Space group Immm (No. 71)
Asymmetric unit:
Ti  0.0000  0.0000  0.2280 (multiplicity 4)
Nb  0.0000  0.0000  0.5000 (multiplicity 2)
Rh  0.0000  0.0000  0.0000 (multiplicity 2)

=====

What did the first record say?
Ca3MgP | PBE | relaxed

Properties
DFT total energy = -3.15 eV per atom
formation energy = -0.5435 eV/atom
total moment = 0.0 μB/f.u.
offset from the most stable computed form = 23 meV per atom
volume = 573.81 Å³ per cell

abc: 12.0362 6.9047 6.9045
angles: 90.00 90.00 90.00
Space group Aem2 (No. 39)
Asymmetric unit:
Ca  0.0000  0.0000  0.0000 (multiplicity 4)
Ca  0.2892  0.9998  0.9995 (multiplicity 8)
Mg  0.4926  0.2500  0.2484 (multiplicity 4)
P  0.1370  0.2500  0.7498 (multiplicity 4)

=====

- Which of these has the highest DFT total energy?
  CsLiTe2

=====

- What is the volume in the third record?
  146.68 Å³ per cell

=====

What did the second record say?
CsLiTe2 | PBE | relaxed

Properties
DFT total energy = -3.01 eV per atom
total moment = 0.0 μB/f.u.
uncorrected formation energy = -0.75 eV/atom
offset from the most stable computed form = 78 meV per atom
volume = 622.24 Å³ per cell

abc: 9.8468 10.7798 6.2547
angles: 90.00 110.41 90.00
Space group C2/c (No. 15)
Asymmetric unit:
Cs  0.0000  0.1392  0.2500 (multiplicity 4)
Li  0.0000  0.4782  0.7500 (multiplicity 4)
Te  0.2332  0.3692  0.0897 (multiplicity 8)